! GGA+U TlCoCuO4, relaxed; values from VASP
! symmetry: I-4 (82)
! E_tot: -35.40 eV per formula unit
! magnetization: 5.0 μB/f.u.
&SYSTEM
  ibrav = 0, nat = 7, ntyp = 4
/
ATOMIC_SPECIES
Tl 204.38 Tl.upf
Co 58.93 Co.upf
Cu 63.55 Cu.upf
O 16.00 O.upf
ATOMIC_POSITIONS angstrom
Tl 0.000 0.000 0.000
Co 0.000 2.658 1.889
Cu 2.658 2.658 0.000
O -0.961 -1.486 2.961
O 1.171 3.619 0.817
O 0.961 1.486 2.961
O 4.144 1.696 0.817
CELL_PARAMETERS angstrom
5.315 0.000 0.000
0.000 5.315 0.000
-2.658 -2.658 3.778